Density functional theory data (GGA-PBE) for CaCdGe after structural relaxation.

Results
mass density = 5.02 g cm⁻³
total magnetic moment = 0.00 Bohr magnetons per cell
final energy = -17.4 eV for the cell shown
ΔE_f = -0.39 eV per atom
DOS at the Fermi energy = 2.2 states/eV per cell
crystal system = triclinic

abc: 3.972 4.419 8.766
angles: 75.45 89.80 90.00
Positions (direct):
Ca (0.249, 0.407, 0.187)
Ca (0.751, 0.593, 0.813)
Cd (0.251, 0.215, 0.568)
Cd (0.749, 0.785, 0.432)
Ge (0.251, 0.047, 0.905)
Ge (0.749, 0.953, 0.095)